1.
{
  "formula": "Pr4TlSb",
  "functional": "PBE",
  "state": "optimized geometry",
  "total_magnetization_mub_per_cell": 0.00,
  "final_energy_ev_per_fu": -28.79,
  "e_form_raw_mev_per_atom": -531,
  "lattice_angstrom": [[6.642, 0.000, 0.000], [0.000, 6.642, 0.000], [0.000, 0.000, 8.896]],
  "species": ["Pr", "Pr", "Pr", "Pr", "Pr", "Pr", "Pr", "Pr", "Tl", "Tl", "Sb", "Sb"],
  "frac_coords": [[0.000, 0.249, 0.000], [0.000, 0.751, 0.000], [0.250, 0.000, 0.348], [0.250, 0.500, 0.645], [0.500, 0.249, 0.000], [0.500, 0.751, 0.000], [0.750, 0.000, 0.652], [0.750, 0.500, 0.355], [0.250, 0.500, 0.281], [0.750, 0.500, 0.719], [0.250, 0.000, 0.718], [0.750, 0.000, 0.282]]
}

2.
{
  "formula": "PrYHg4",
  "functional": "PBE",
  "state": "optimized geometry",
  "total_magnetization_mub_per_cell": 0.16,
  "de_polymorph_mev_per_atom": 0,
  "formation_enthalpy_0k_mev_per_atom": -358,
  "final_energy_ev_per_fu": -14.60,
  "lattice_angstrom": [[5.347, -1.959, 0.000], [5.347, 1.959, 0.000], [-2.919, 0.000, 7.511]],
  "species": ["Pr", "Y", "Hg", "Hg", "Hg", "Hg"],
  "frac_coords": [[0.000, 0.000, 0.000], [0.000, 0.000, 0.500], [0.331, 0.331, 0.656], [0.332, 0.332, 0.177], [0.668, 0.668, 0.823], [0.669, 0.669, 0.344]]
}

3.
{
  "formula": "CaNi2Se",
  "functional": "PBE",
  "state": "optimized geometry",
  "total_magnetization_mub_per_cell": 0.00,
  "final_energy_ev_per_fu": -17.50,
  "e_form_raw_mev_per_atom": -114,
  "lattice_angstrom": [[-1.985, 1.985, 4.139], [1.985, -1.985, 4.139], [1.985, 1.985, -4.139]],
  "species": ["Ca", "Ni", "Ni", "Se"],
  "frac_coords": [[0.000, 0.000, 0.000], [0.250, 0.750, 0.500], [0.500, 0.500, 0.000], [0.750, 0.250, 0.500]]
}

4.
{
  "formula": "Li2TiPd3",
  "functional": "PBE",
  "state": "optimized geometry",
  "total_magnetization_mub_per_cell": 0.00,
  "de_polymorph_mev_per_atom": 0,
  "formation_enthalpy_0k_mev_per_atom": -542,
  "final_energy_ev_per_fu": -30.56,
  "lattice_angstrom": [[2.130, -6.354, 0.000], [2.130, 6.354, 0.000], [0.000, 0.000, 6.358]],
  "species": ["Li", "Li", "Li", "Li", "Ti", "Ti", "Pd", "Pd", "Pd", "Pd", "Pd", "Pd"],
  "frac_coords": [[0.000, 0.000, 0.000], [0.000, 0.000, 0.500], [0.328, 0.672, 0.000], [0.672, 0.328, 0.000], [0.341, 0.659, 0.500], [0.659, 0.341, 0.500], [0.167, 0.833, 0.254], [0.167, 0.833, 0.746], [0.500, 0.500, 0.241], [0.500, 0.500, 0.759], [0.833, 0.167, 0.254], [0.833, 0.167, 0.746]]
}

5.
{
  "formula": "AlSnPb",
  "functional": "PBE",
  "state": "optimized geometry",
  "total_magnetization_mub_per_cell": 0.00,
  "de_polymorph_mev_per_atom": 26,
  "formation_enthalpy_0k_mev_per_atom": 145,
  "final_energy_ev_per_fu": -11.02,
  "lattice_angstrom": [[6.242, 0.000, 0.000], [0.000, 3.387, 0.000], [-0.626, 0.000, 7.479]],
  "species": ["Al", "Al", "Sn", "Sn", "Pb", "Pb"],
  "frac_coords": [[0.000, 0.000, 0.000], [0.353, 0.500, 0.996], [0.324, 0.000, 0.334], [0.753, 0.500, 0.239], [0.045, 0.500, 0.630], [0.589, 0.000, 0.732]]
}

6.
{
  "formula": "Cs5Al2Bi5",
  "functional": "PBE",
  "state": "optimized geometry",
  "total_magnetization_mub_per_cell": 0.00,
  "formation_enthalpy_0k_mev_per_atom": -171,
  "final_energy_ev_per_fu": -33.21,
  "lattice_angstrom": [[10.320, -2.546, 0.000], [10.320, 2.546, 0.000], [-8.943, 0.000, 11.289]],
  "species": ["Cs", "Cs", "Cs", "Cs", "Cs", "Al", "Al", "Bi", "Bi", "Bi", "Bi", "Bi"],
  "frac_coords": [[0.000, 0.000, 0.000], [0.367, 0.367, 0.207], [0.389, 0.389, 0.629], [0.611, 0.611, 0.371], [0.633, 0.633, 0.793], [0.174, 0.174, 0.621], [0.826, 0.826, 0.379], [0.000, 0.000, 0.500], [0.225, 0.225, 0.294], [0.309, 0.309, 0.871], [0.691, 0.691, 0.129], [0.775, 0.775, 0.706]]
}

7.
{
  "formula": "La2SiC",
  "functional": "PBE",
  "state": "optimized geometry",
  "total_magnetization_mub_per_cell": 0.00,
  "de_polymorph_mev_per_atom": 0,
  "final_energy_ev_per_fu": -24.36,
  "e_form_raw_mev_per_atom": 35,
  "lattice_angstrom": [[-3.649, 3.649, 3.826], [3.649, -3.649, 3.826], [3.649, 3.649, -3.826]],
  "species": ["La", "La", "La", "La", "Si", "Si", "C", "C"],
  "frac_coords": [[0.062, 0.625, 0.937], [0.375, 0.312, 0.437], [0.688, 0.125, 0.063], [0.875, 0.938, 0.563], [0.250, 0.750, 0.500], [0.500, 0.500, 0.000], [0.000, 0.000, 0.000], [0.750, 0.250, 0.500]]
}

8.
{
  "formula": "Sr12CdAu6",
  "functional": "PBE",
  "state": "optimized geometry",
  "total_magnetization_mub_per_cell": 0.00,
  "formation_enthalpy_0k_mev_per_atom": -519,
  "final_energy_ev_per_fu": -50.62,
  "lattice_angstrom": [[-5.630, 5.630, 5.630], [5.630, -5.630, 5.630], [5.630, 5.630, -5.630]],
  "species": ["Sr", "Sr", "Sr", "Sr", "Sr", "Sr", "Sr", "Sr", "Sr", "Sr", "Sr", "Sr", "Cd", "Au", "Au", "Au", "Au", "Au", "Au"],
  "frac_coords": [[0.126, 0.821, 0.305], [0.179, 0.305, 0.484], [0.179, 0.695, 0.874], [0.305, 0.126, 0.821], [0.305, 0.484, 0.179], [0.484, 0.179, 0.305], [0.516, 0.821, 0.695], [0.695, 0.516, 0.821], [0.695, 0.874, 0.179], [0.821, 0.305, 0.126], [0.821, 0.695, 0.516], [0.874, 0.179, 0.695], [0.000, 0.000, 0.000], [0.128, 0.628, 0.500], [0.372, 0.500, 0.872], [0.500, 0.128, 0.628], [0.500, 0.872, 0.372], [0.628, 0.500, 0.128], [0.872, 0.372, 0.500]]
}

9.
{
  "formula": "MgCr3Br",
  "functional": "PBE",
  "state": "optimized geometry",
  "total_magnetization_mub_per_cell": 0.74,
  "de_polymorph_mev_per_atom": 0,
  "final_energy_ev_per_fu": -25.75,
  "e_form_raw_mev_per_atom": 1278,
  "lattice_angstrom": [[4.390, 0.000, 0.000], [0.000, 4.390, 0.000], [0.000, 0.000, 4.390]],
  "species": ["Mg", "Cr", "Cr", "Cr", "Br"],
  "frac_coords": [[0.000, 0.000, 0.000], [0.000, 0.500, 0.500], [0.500, 0.000, 0.500], [0.500, 0.500, 0.000], [0.500, 0.500, 0.500]]
}

10.
{
  "formula": "La3Nd8Cd",
  "functional": "PBE",
  "state": "optimized geometry",
  "total_magnetization_mub_per_cell": 0.00,
  "formation_enthalpy_0k_mev_per_atom": 417,
  "final_energy_ev_per_fu": -48.83,
  "lattice_angstrom": [[-4.391, 4.391, 5.793], [4.391, -4.391, 5.793], [4.391, 4.391, -5.793]],
  "species": ["La", "La", "La", "Nd", "Nd", "Nd", "Nd", "Nd", "Nd", "Nd", "Nd", "Cd"],
  "frac_coords": [[0.000, 0.000, 0.000], [0.250, 0.750, 0.500], [0.750, 0.250, 0.500], [0.126, 0.126, 0.750], [0.247, 0.247, 0.502], [0.255, 0.753, 0.000], [0.376, 0.376, 0.250], [0.624, 0.874, 0.000], [0.745, 0.745, 0.498], [0.753, 0.255, 0.000], [0.874, 0.624, 0.000], [0.500, 0.500, 0.000]]
}

11.
{
  "formula": "PrGeBi2",
  "functional": "PBE",
  "state": "optimized geometry",
  "total_magnetization_mub_per_cell": 0.00,
  "de_polymorph_mev_per_atom": 563,
  "formation_enthalpy_0k_mev_per_atom": 190,
  "final_energy_ev_per_fu": -16.40,
  "lattice_angstrom": [[1.913, 1.104, 10.349], [-1.913, 1.104, 10.349], [0.000, -2.209, 10.349]],
  "species": ["Pr", "Ge", "Bi", "Bi"],
  "frac_coords": [[0.000, 0.000, 0.000], [0.500, 0.500, 0.500], [0.104, 0.104, 0.104], [0.896, 0.896, 0.896]]
}

12.
{
  "formula": "LaScIn",
  "functional": "PBE",
  "state": "optimized geometry",
  "total_magnetization_mub_per_cell": 0.35,
  "de_polymorph_mev_per_atom": 103,
  "formation_enthalpy_0k_mev_per_atom": -244,
  "final_energy_ev_per_fu": -14.73,
  "lattice_angstrom": [[-1.733, 2.223, 5.473], [1.733, -2.223, 5.473], [1.733, 2.223, -5.473]],
  "species": ["La", "Sc", "In"],
  "frac_coords": [[0.000, 0.000, 0.000], [0.298, 0.298, 0.000], [0.680, 0.680, 0.000]]
}